No. 1
This record from Alexandria describes a relaxed CeSmCoHg crystal. The functional is PBE.

Structure (POSCAR):
```
CeSmCoHg
1.0
0.000 3.627 3.627
3.627 0.000 3.627
3.627 3.627 0.000
Ce Sm Co Hg
1 1 1 1
Direct
0.000 0.000 0.000
0.500 0.500 0.500
0.750 0.750 0.750
0.250 0.250 0.250
```

Computed properties:
distance to the lowest polymorph of the same formula: 181 meV per atom
DFT total energy: -0.33826 Ry per atom
space-group type: F-43m, No. 216

***

No. 2
This record from Alexandria describes a relaxed Ce6CoTcHg2 crystal. The functional is PBE.

Structure (POSCAR):
```
Ce6CoTcHg2
1.0
7.121 0.000 0.000
-0.029 7.127 0.000
-3.546 -3.560 5.444
Ce Co Tc Hg
6 1 1 2
Direct
0.000 0.000 0.000
0.056 0.925 0.495
0.131 0.486 0.000
0.488 0.869 0.999
0.558 0.427 0.498
0.618 0.355 0.999
0.312 0.181 0.007
0.781 0.649 0.943
0.058 0.427 0.497
0.558 0.927 0.498
```

Computed properties:
DFT total energy: -0.40381 Ry per atom
space-group type: P1, No. 1

***

No. 3
This record from Alexandria describes a relaxed CeThCoHg crystal. The functional is PBE.

Structure (POSCAR):
```
CeThCoHg
1.0
3.714 0.000 0.000
0.000 4.787 0.000
0.000 0.000 5.431
Ce Th Co Hg
1 1 1 1
Direct
0.000 0.000 0.000
0.000 0.500 0.538
0.500 0.000 0.368
0.500 0.500 0.063
```

Computed properties:
DFT total energy: -0.38733 Ry per atom
space-group type: Pmm2, No. 25

***

No. 4
This record from Alexandria describes a relaxed Ce2TmCoHg crystal. The functional is PBE.

Structure (POSCAR):
```
Ce2TmCoHg
1.0
4.920 0.000 0.000
0.000 4.920 0.000
0.000 0.000 5.410
Ce Tm Co Hg
2 1 1 1
Direct
0.000 0.500 0.000
0.500 0.000 0.000
0.000 0.000 0.500
0.000 0.000 0.000
0.500 0.500 0.500
```

Computed properties:
DFT total energy: -0.36416 Ry per atom
space-group type: P4/mmm, No. 123

***

No. 5
This record from Alexandria describes a relaxed CeYCoHg crystal. The functional is PBE.

Structure (POSCAR):
```
CeYCoHg
1.0
2.597 -2.516 0.000
2.597 2.516 0.000
-1.335 0.000 7.179
Ce Y Co Hg
1 1 1 1
Direct
0.000 0.000 0.000
0.143 0.143 0.575
0.635 0.635 0.799
0.571 0.571 0.305
```

Computed properties:
distance to the lowest polymorph of the same formula: 0 meV per atom
DFT total energy: -0.38474 Ry per atom
space-group type: Cm, No. 8

***

No. 6
This record from Alexandria describes a relaxed CeYCoHg crystal. The functional is PBE.

Structure (POSCAR):
```
CeYCoHg
1.0
0.000 3.603 3.603
3.603 0.000 3.603
3.603 3.603 0.000
Ce Y Co Hg
1 1 1 1
Direct
0.000 0.000 0.000
0.500 0.500 0.500
0.750 0.750 0.750
0.250 0.250 0.250
```

Computed properties:
distance to the lowest polymorph of the same formula: 160 meV per atom
DFT total energy: -0.37296 Ry per atom
space-group type: F-43m, No. 216

***

No. 7
This record from Alexandria describes a relaxed CeHoCo2 crystal. The functional is PBE.

Structure (POSCAR):
```
CeHoCo2
1.0
3.330 0.000 0.000
0.000 3.330 0.000
0.000 0.000 6.685
Ce Ho Co
1 1 2
Direct
0.000 0.000 0.000
0.000 0.000 0.500
0.500 0.500 0.224
0.500 0.500 0.776
```

Computed properties:
DFT total energy: -0.46588 Ry per atom
space-group type: P4/mmm, No. 123

***

No. 8
This record from Alexandria describes a relaxed CeHoCo2 crystal. The functional is PBE.

Structure (POSCAR):
```
CeHoCo2
1.0
3.882 0.000 0.000
0.000 5.704 0.000
0.000 0.000 6.969
Ce Ho Co
2 2 4
Direct
0.000 0.108 0.000
0.000 0.892 0.500
0.500 0.391 0.366
0.500 0.609 0.866
0.000 0.357 0.657
0.000 0.643 0.157
0.500 0.098 0.734
0.500 0.902 0.234
```

Computed properties:
DFT total energy: -0.46886 Ry per atom
space-group type: Pmc2_1, No. 26

***

No. 9
This record from Alexandria describes a relaxed CeHoCo2 crystal. The functional is PBE.

Structure (POSCAR):
```
CeHoCo2
1.0
1.862 1.075 6.588
-1.862 1.075 6.588
0.000 -2.150 6.588
Ce Ho Co
1 1 2
Direct
0.000 0.000 0.000
0.500 0.500 0.500
0.256 0.256 0.256
0.744 0.744 0.744
```

Computed properties:
DFT total energy: -0.45594 Ry per atom
space-group type: R-3m, No. 166

***

No. 10
This record from Alexandria describes a relaxed Ce2Ho3Co2 crystal. The functional is PBE.

Structure (POSCAR):
```
Ce2Ho3Co2
1.0
5.882 -1.778 0.000
5.882 1.778 0.000
-3.415 0.000 8.142
Ce Ho Co
2 3 2
Direct
0.182 0.182 0.320
0.818 0.818 0.680
0.384 0.384 0.079
0.500 0.500 0.500
0.616 0.616 0.921
0.191 0.191 0.737
0.809 0.809 0.263
```

Computed properties:
DFT total energy: -0.43103 Ry per atom
space-group type: C2/m, No. 12

***

No. 11
This record from Alexandria describes a relaxed Ce3HoCo crystal. The functional is PBE.

Structure (POSCAR):
```
Ce3HoCo
1.0
5.232 0.000 0.000
0.000 5.232 0.000
0.000 0.000 5.232
Ce Ho Co
3 1 1
Direct
0.000 0.000 0.500
0.000 0.500 0.000
0.500 0.000 0.000
0.500 0.500 0.500
0.000 0.000 0.000
```

Computed properties:
DFT total energy: -0.42695 Ry per atom
space-group type: Pm-3m, No. 221

***

No. 12
This record from Alexandria describes a relaxed CeHoCo2 crystal. The functional is PBE.

Structure (POSCAR):
```
CeHoCo2
1.0
5.932 0.000 0.000
0.000 5.991 0.000
-3.454 0.000 8.764
Ce Ho Co
4 4 8
Direct
0.195 0.136 0.155
0.195 0.864 0.655
0.805 0.136 0.345
0.805 0.864 0.845
0.308 0.358 0.852
0.308 0.642 0.352
0.692 0.358 0.648
0.692 0.642 0.148
0.116 0.336 0.532
0.116 0.664 0.032
0.349 0.135 0.408
0.349 0.865 0.908
0.651 0.135 0.092
0.651 0.865 0.592
0.884 0.336 0.968
0.884 0.664 0.468
```

Computed properties:
DFT total energy: -0.47129 Ry per atom
space-group type: P2/c, No. 13